<a>
# Hf2TaGa4

A geometry-optimized Hf2TaGa4 structure (PBE, the Alexandria database).

CIF file:
```
data_Hf2TaGa4
_cell_length_a 6.537
_cell_length_b 6.537
_cell_length_c 5.875
_cell_angle_alpha 90.00
_cell_angle_beta 90.00
_cell_angle_gamma 90.00
_space_group_name_H-M_alt 'I 4 m m'
_space_group_IT_number 107
_space_group_name_Hall 'I 4 -2'
loop_
_atom_site_label
_atom_site_fract_x
_atom_site_fract_y
_atom_site_fract_z
_atom_site_occupancy
Hf1 0.000 0.500 0.000 1
Ta1 0.000 0.000 0.248 1
Ga1 0.197 0.197 0.751 1
```

Properties
Its density of states at the Fermi level is 2.80 states/eV/f.u.

***

<b>
# Hf2TaGa4

A geometry-optimized Hf2TaGa4 structure (PBE, the Alexandria database).

CIF file:
```
data_Hf2TaGa4
_cell_length_a 4.876
_cell_length_b 4.876
_cell_length_c 13.620
_cell_angle_alpha 90.00
_cell_angle_beta 90.00
_cell_angle_gamma 90.00
_space_group_name_H-M_alt 'I 4/m m m'
_space_group_IT_number 139
_space_group_name_Hall '-I 4 2'
loop_
_atom_site_label
_atom_site_fract_x
_atom_site_fract_y
_atom_site_fract_z
_atom_site_occupancy
Hf1 0.000 0.000 0.107 1
Ta1 0.000 0.000 0.500 1
Ga1 0.000 0.000 0.309 1
Ga2 0.000 0.500 0.000 1
```

Properties
Its density of states at the Fermi level is 3.80 states/eV/f.u.

***

Stability check: which of them is least stable? <b>.

***

<a>
# HfTa2Ga2

A geometry-optimized HfTa2Ga2 structure (PBE, the Alexandria database).

CIF file:
```
data_HfTa2Ga2
_cell_length_a 3.891
_cell_length_b 3.891
_cell_length_c 12.139
_cell_angle_alpha 90.00
_cell_angle_beta 90.00
_cell_angle_gamma 90.00
_space_group_name_H-M_alt 'I 4/m m m'
_space_group_IT_number 139
_space_group_name_Hall '-I 4 2'
loop_
_atom_site_label
_atom_site_fract_x
_atom_site_fract_y
_atom_site_fract_z
_atom_site_occupancy
Hf1 0.000 0.000 0.000 1
Ta1 0.000 0.500 0.250 1
Ga1 0.000 0.000 0.404 1
```

Properties
Its density of states at the Fermi level is 2.41 states/eV/f.u.

***

<b>
# HfTa2Ga2

A geometry-optimized HfTa2Ga2 structure (PBE, the Alexandria database).

CIF file:
```
data_HfTa2Ga2
_cell_length_a 3.651
_cell_length_b 3.651
_cell_length_c 14.434
_cell_angle_alpha 90.00
_cell_angle_beta 90.00
_cell_angle_gamma 90.00
_space_group_name_H-M_alt 'I 4/m m m'
_space_group_IT_number 139
_space_group_name_Hall '-I 4 2'
loop_
_atom_site_label
_atom_site_fract_x
_atom_site_fract_y
_atom_site_fract_z
_atom_site_occupancy
Hf1 0.000 0.000 0.000 1
Ta1 0.000 0.000 0.402 1
Ga1 0.000 0.500 0.250 1
```

Properties
Its density of states at the Fermi level is 5.01 states/eV/f.u.

***

<c>
# HfTa2Ga2

A geometry-optimized HfTa2Ga2 structure (PBE, the Alexandria database).

CIF file:
```
data_HfTa2Ga2
_cell_length_a 7.085
_cell_length_b 7.085
_cell_length_c 3.490
_cell_angle_alpha 90.00
_cell_angle_beta 90.00
_cell_angle_gamma 90.00
_space_group_name_H-M_alt 'P 4/m b m'
_space_group_IT_number 127
_space_group_name_Hall '-P 4 2ab'
loop_
_atom_site_label
_atom_site_fract_x
_atom_site_fract_y
_atom_site_fract_z
_atom_site_occupancy
Hf1 0.000 0.000 0.000 1
Ta1 0.174 0.326 0.500 1
Ga1 0.125 0.625 0.000 1
```

Properties
Its density of states at the Fermi level is 2.86 states/eV/f.u.

***

Stability check: which of them is least stable? <b>.